1.
A plane-wave DFT calculation with PBE was carried out for crystalline KMgZr2 at its relaxed geometry.

Calculated values
SG: P4/mmm (123)
energy of formation: 200 kJ/mol of formula units
ρ: 3.72 Mg/m³

Cell: 3.077 3.077 11.580 Å, 90.00 90.00 90.00°
Fractional coordinates of all 4 atoms:
K1 0.000 0.000 0.000
Mg1 0.000 0.000 0.500
Zr1 0.500 0.500 0.302
Zr2 0.500 0.500 0.698

=====

2.
A plane-wave DFT calculation with PBE was carried out for crystalline SrPmSiPd at its relaxed geometry.

Calculated values
SG: F-43m (216)
ρ: 6.14 Mg/m³
uncorrected formation energy: -0.49 eV per atom

Cell: 7.351 7.351 7.351 Å, 90.00 90.00 90.00°
Fractional coordinates of all 16 atoms:
Sr1 0.000 0.000 0.000
Sr2 0.000 0.500 0.500
Sr3 0.500 0.000 0.500
Sr4 0.500 0.500 0.000
Pm1 0.000 0.000 0.500
Pm2 0.000 0.500 0.000
Pm3 0.500 0.000 0.000
Pm4 0.500 0.500 0.500
Si1 0.250 0.250 0.250
Si2 0.250 0.750 0.750
Si3 0.750 0.250 0.750
Si4 0.750 0.750 0.250
Pd1 0.250 0.250 0.750
Pd2 0.250 0.750 0.250
Pd3 0.750 0.250 0.250
Pd4 0.750 0.750 0.750

=====

no.,magnetization (μB per formula unit)
1,0.0
2,0.0